No. 1
DFT (PBE-GGA) results for an optimized crystal structure of Sm4Tl5Hg.

Results
**Formation energy from the elements**: -3.40 eV/f.u.
**Energy relative to the lowest polymorph listed for this composition**: 0.00 kcal/mol of atoms
**DFT total energy**: -3.44 eV per atom

Cell lengths 9.2813, 9.2813, 6.6083 Å; angles 109.26, 109.26, 32.10 degrees
Fractional positions:
Sm (0.0849, 0.0849, 0.3373)
Sm (0.3030, 0.3030, 0.8845)
Sm (0.6970, 0.6970, 0.1155)
Sm (0.9151, 0.9151, 0.6627)
Tl (0.1072, 0.1072, 0.8478)
Tl (0.2958, 0.2958, 0.3870)
Tl (0.5000, 0.5000, 0.5000)
Tl (0.7042, 0.7042, 0.6130)
Tl (0.8928, 0.8928, 0.1522)
Hg (0.5000, 0.5000, 0.0000)


No. 2
DFT (PBE-GGA) results for an optimized crystal structure of Sm4Tl5Hg.

Results
**Formation energy from the elements**: -0.79 eV/f.u.
**Energy relative to the lowest polymorph listed for this composition**: 6.02 kcal/mol of atoms
**DFT total energy**: -3.18 eV per atom

Cell lengths 8.1162, 10.3716, 7.4401 Å; angles 90.00, 90.00, 90.00 degrees
Fractional positions:
Sm (0.0080, 0.2500, 0.2078)
Sm (0.2500, 0.5566, 0.4605)
Sm (0.2500, 0.9434, 0.4605)
Sm (0.4920, 0.2500, 0.2078)
Sm (0.5080, 0.7500, 0.7922)
Sm (0.7500, 0.0566, 0.5395)
Sm (0.7500, 0.4434, 0.5395)
Sm (0.9920, 0.7500, 0.7922)
Tl (0.0618, 0.0622, 0.8176)
Tl (0.0618, 0.4378, 0.8176)
Tl (0.2500, 0.7500, 0.1008)
Tl (0.4382, 0.0622, 0.8176)
Tl (0.4382, 0.4378, 0.8176)
Tl (0.5618, 0.5622, 0.1824)
Tl (0.5618, 0.9378, 0.1824)
Tl (0.7500, 0.2500, 0.8992)
Tl (0.9382, 0.5622, 0.1824)
Tl (0.9382, 0.9378, 0.1824)
Hg (0.2500, 0.2500, 0.5328)
Hg (0.7500, 0.7500, 0.4672)